No. 1
The following is a DFT calculation (PBE) of Al2CdCu after structural relaxation.

Computed properties:
ΔH_f (0 K), eV/atom: 0.06
D(E_F), states/eV/f.u.: 1.0

a b c (Å): 5.825 5.825 5.825
angles (deg): 152.34 131.07 57.13
Sites, in units of the cell vectors:
Cu1 0.250 0.750 0.500
Cd1 0.750 0.250 0.500
Al1 0.466 0.466 0.000
Al2 0.034 0.034 0.000

***

No. 2
The following is a DFT calculation (PBE) of BeSb2As after structural relaxation.

Computed properties:
Energy relative to the lowest polymorph listed for this composition, meV per atom: 330.8
D(E_F), states/eV/f.u.: 2.0
E_form (uncorrected), meV per atom: 488

a b c (Å): 3.372 3.372 7.871
angles (deg): 90.00 90.00 108.43
Sites, in units of the cell vectors:
Be1 0.500 0.500 0.750
As1 0.500 0.500 0.250
Sb1 0.000 0.000 0.964
Sb2 0.000 0.000 0.536

***

No. 3
The following is a DFT calculation (PBE) of SiH after structural relaxation.

Computed properties:
Energy relative to the lowest polymorph listed for this composition, meV per atom: 516.7
D(E_F), states/eV/f.u.: 0.6

a b c (Å): 7.470 7.470 2.887
angles (deg): 90.00 90.00 90.00
Sites, in units of the cell vectors:
H1 0.944 0.172 0.500
H2 0.444 0.672 0.000
H3 0.828 0.944 0.500
H4 0.172 0.056 0.500
H5 0.056 0.828 0.500
H6 0.556 0.328 0.000
H7 0.328 0.444 0.000
H8 0.672 0.556 0.000
Si1 0.970 0.294 0.000
Si2 0.706 0.970 0.000
Si3 0.794 0.530 0.500
Si4 0.206 0.470 0.500
Si5 0.294 0.030 0.000
Si6 0.470 0.794 0.500
Si7 0.530 0.206 0.500
Si8 0.030 0.706 0.000

***

No. 4
The following is a DFT calculation (PBE) of Be3BiPb after structural relaxation.

Computed properties:
ΔH_f (0 K), eV/atom: 1.30
Energy relative to the lowest polymorph listed for this composition, meV per atom: 76.5
D(E_F), states/eV/f.u.: 4.1

a b c (Å): 4.893 4.893 4.893
angles (deg): 90.00 90.00 90.00
Sites, in units of the cell vectors:
Be1 0.500 0.000 0.000
Be2 0.000 0.000 0.500
Be3 0.000 0.500 0.000
Bi1 0.000 0.000 0.000
Pb1 0.500 0.500 0.500

***

No. 5
The following is a DFT calculation (PBE) of Sc2Be after structural relaxation.

Computed properties:
ΔH_f (0 K), eV/atom: 0.76
Energy relative to the lowest polymorph listed for this composition, meV per atom: 794.2
D(E_F), states/eV/f.u.: 3.1

a b c (Å): 5.512 5.512 9.859
angles (deg): 90.00 90.00 120.00
Sites, in units of the cell vectors:
Be1 0.667 0.333 0.627
Be2 0.667 0.333 0.873
Be3 0.333 0.667 0.127
Be4 0.333 0.667 0.373
Sc1 0.832 0.168 0.250
Sc2 0.336 0.168 0.250
Sc3 0.832 0.664 0.250
Sc4 0.168 0.832 0.750
Sc5 0.168 0.336 0.750
Sc6 0.000 0.000 0.000
Sc7 0.000 0.000 0.500
Sc8 0.664 0.832 0.750

***

No. 6
The following is a DFT calculation (PBE) of ZnOsSe2 after structural relaxation.

Computed properties:
D(E_F), states/eV/f.u.: 1.6
E_form (uncorrected), meV per atom: 263

a b c (Å): 3.231 3.211 7.327
angles (deg): 90.00 90.00 90.00
Sites, in units of the cell vectors:
Os1 0.500 0.500 0.730
Zn1 0.000 0.000 0.508
Se1 0.500 0.500 0.354
Se2 0.000 0.000 0.909

***

No. 7
The following is a DFT calculation (PBE) of CsMnHgTe3 after structural relaxation.

Computed properties:
D(E_F), states/eV/f.u.: 3.5
E_form (uncorrected), meV per atom: -352

a b c (Å): 4.031 9.670 11.214
angles (deg): 108.61 90.00 90.00
Sites, in units of the cell vectors:
Cs1 0.750 0.788 0.721
Cs2 0.250 0.212 0.279
Te1 0.750 0.836 0.146
Te2 0.250 0.164 0.854
Te3 0.750 0.357 0.614
Te4 0.250 0.557 0.895
Te5 0.750 0.443 0.105
Te6 0.250 0.643 0.386
Hg1 0.750 0.894 0.426
Hg2 0.250 0.106 0.574
Mn1 0.750 0.355 0.850
Mn2 0.250 0.645 0.150

***

No. 8
The following is a DFT calculation (PBE) of CdInSi2 after structural relaxation.

Computed properties:
Energy relative to the lowest polymorph listed for this composition, meV per atom: 142.6
D(E_F), states/eV/f.u.: 2.2
E_form (uncorrected), meV per atom: 415

a b c (Å): 5.039 3.774 4.717
angles (deg): 91.57 90.00 90.00
Sites, in units of the cell vectors:
Si1 0.000 0.512 0.413
Si2 0.000 0.988 0.087
In1 0.500 0.750 0.750
Cd1 0.500 0.250 0.250

***

No. 9
The following is a DFT calculation (PBE) of SrRePt2 after structural relaxation.

Computed properties:
ΔH_f (0 K), eV/atom: -0.06
Energy relative to the lowest polymorph listed for this composition, meV per atom: 0.0
D(E_F), states/eV/f.u.: 3.4

a b c (Å): 3.782 2.849 7.743
angles (deg): 68.40 90.00 90.00
Sites, in units of the cell vectors:
Pt1 0.000 0.560 0.440
Pt2 0.000 0.940 0.060
Sr1 0.500 0.750 0.750
Re1 0.500 0.250 0.250

***

No. 10
The following is a DFT calculation (PBE) of Na2YCd after structural relaxation.

Computed properties:
ΔH_f (0 K), eV/atom: 0.28
D(E_F), states/eV/f.u.: 4.7

a b c (Å): 8.957 8.957 7.066
angles (deg): 50.67 50.67 90.00
Sites, in units of the cell vectors:
Cd1 0.750 0.250 0.500
Cd2 0.000 0.000 0.000
Na1 0.375 0.333 0.750
Na2 0.083 0.625 0.250
Na3 0.667 0.125 0.250
Na4 0.875 0.917 0.750
Y1 0.250 0.750 0.500
Y2 0.500 0.500 0.000

***

No. 11
The following is a DFT calculation (PBE) of Rb3TlBr4 after structural relaxation.

Computed properties:
Energy relative to the lowest polymorph listed for this composition, meV per atom: 38.6
D(E_F), states/eV/f.u.: 0.0
E_form (uncorrected), meV per atom: -1491

a b c (Å): 6.881 10.162 11.753
angles (deg): 90.00 90.00 90.00
Sites, in units of the cell vectors:
Br1 0.568 0.173 0.000
Br2 0.064 0.330 0.247
Br3 0.564 0.670 0.747
Br4 0.564 0.670 0.253
Br5 0.068 0.827 0.500
Br6 0.064 0.330 0.753
Br7 0.064 0.847 0.000
Br8 0.564 0.153 0.500
Rb1 0.564 0.841 0.000
Rb2 0.064 0.668 0.248
Rb3 0.064 0.159 0.500
Rb4 0.564 0.332 0.252
Rb5 0.564 0.332 0.748
Rb6 0.064 0.668 0.752
Tl1 0.063 0.172 0.000
Tl2 0.563 0.828 0.500

***

No. 12
The following is a DFT calculation (PBE) of BaLaAl2 after structural relaxation.

Computed properties:
ΔH_f (0 K), eV/atom: -0.08
Energy relative to the lowest polymorph listed for this composition, meV per atom: 109.5
D(E_F), states/eV/f.u.: 4.1

a b c (Å): 5.717 5.717 6.767
angles (deg): 63.78 63.78 47.97
Sites, in units of the cell vectors:
Al1 0.988 0.988 0.143
Al2 0.512 0.512 0.357
La1 0.250 0.250 0.250
Ba1 0.750 0.750 0.750

***

No. 13
The following is a DFT calculation (PBE) of K2Hg2F after structural relaxation.

Computed properties:
Energy relative to the lowest polymorph listed for this composition, meV per atom: 41.6
D(E_F), states/eV/f.u.: 1.4
E_form (uncorrected), meV per atom: -998

a b c (Å): 4.059 4.059 9.888
angles (deg): 78.16 78.16 90.00
Sites, in units of the cell vectors:
Hg1 0.750 0.250 0.500
Hg2 0.250 0.750 0.500
K1 0.586 0.586 0.827
K2 0.414 0.414 0.173
F1 0.000 0.000 0.000

***

No. 14
The following is a DFT calculation (PBE) of NaGa4NiPt2 after structural relaxation.

Computed properties:
ΔH_f (0 K), eV/atom: -0.39
D(E_F), states/eV/f.u.: 3.1

a b c (Å): 4.389 4.389 7.799
angles (deg): 73.66 73.66 60.00
Sites, in units of the cell vectors:
Ga1 0.132 0.132 0.605
Ga2 0.868 0.868 0.395
Ga3 0.615 0.615 0.154
Ga4 0.385 0.385 0.846
Pt1 0.251 0.251 0.246
Pt2 0.749 0.749 0.754
Na1 0.000 0.000 0.000
Ni1 0.500 0.500 0.500

***

No. 15
The following is a DFT calculation (PBE) of Tb8Al2Co after structural relaxation.

Computed properties:
ΔH_f (0 K), eV/atom: -0.15
D(E_F), states/eV/f.u.: 10.6

a b c (Å): 5.346 6.816 9.010
angles (deg): 111.02 107.26 90.00
Sites, in units of the cell vectors:
Tb1 0.602 0.406 0.204
Tb2 0.398 0.594 0.796
Tb3 0.991 0.231 0.981
Tb4 0.643 0.919 0.286
Tb5 0.200 0.256 0.401
Tb6 0.357 0.081 0.714
Tb7 0.009 0.769 0.019
Tb8 0.800 0.744 0.599
Al1 0.180 0.692 0.361
Al2 0.820 0.308 0.639
Co1 0.500 0.000 0.000

***

No. 16
The following is a DFT calculation (PBE) of Nb6V5Ga after structural relaxation.

Computed properties:
ΔH_f (0 K), eV/atom: -0.01
D(E_F), states/eV/f.u.: 18.6

a b c (Å): 4.450 6.406 7.800
angles (deg): 114.25 106.58 90.00
Sites, in units of the cell vectors:
Nb1 0.500 0.738 0.000
Nb2 0.169 0.422 0.338
Nb3 0.169 0.915 0.338
Nb4 0.831 0.578 0.662
Nb5 0.831 0.085 0.662
Nb6 0.500 0.262 0.000
V1 0.338 0.838 0.675
V2 0.667 0.667 0.335
V3 0.662 0.162 0.325
V4 0.000 0.500 0.000
V5 0.333 0.333 0.665
Ga1 0.000 0.000 0.000

***

No. 17
The following is a DFT calculation (PBE) of Na3Y2ZrS6 after structural relaxation.

Computed properties:
D(E_F), states/eV/f.u.: 4.2
E_form (uncorrected), meV per atom: -1700

a b c (Å): 6.730 6.730 7.093
angles (deg): 99.12 99.12 119.99
Sites, in units of the cell vectors:
S1 0.755 0.755 0.226
S2 0.245 0.245 0.774
S3 0.397 0.076 0.227
S4 0.076 0.397 0.227
S5 0.924 0.603 0.773
S6 0.603 0.924 0.773
Na1 0.500 0.500 0.500
Na2 0.832 0.168 0.500
Na3 0.168 0.832 0.500
Y1 0.333 0.667 0.000
Y2 0.667 0.333 0.000
Zr1 0.000 0.000 0.000

***

No. 18
The following is a DFT calculation (PBE) of Ce2H2Au after structural relaxation.

Computed properties:
Total energy, eV per atom: -4.91
D(E_F), states/eV/f.u.: 13.9

a b c (Å): 3.741 3.741 6.980
angles (deg): 105.54 105.54 90.00
Sites, in units of the cell vectors:
Ce1 0.643 0.643 0.286
Ce2 0.357 0.357 0.714
Au1 0.000 0.000 0.000
H1 0.250 0.750 0.500
H2 0.750 0.250 0.500

***

No. 19
The following is a DFT calculation (PBE) of NaLiAu after structural relaxation.

Computed properties:
ΔH_f (0 K), eV/atom: -0.34
Energy relative to the lowest polymorph listed for this composition, meV per atom: 21.6
D(E_F), states/eV/f.u.: 0.6

a b c (Å): 2.958 4.098 10.279
angles (deg): 90.00 98.34 90.00
Sites, in units of the cell vectors:
Au1 0.416 0.250 0.831
Au2 0.584 0.750 0.169
Na1 0.179 0.250 0.360
Na2 0.821 0.750 0.640
Li1 0.966 0.750 0.928
Li2 0.034 0.250 0.072

***

No. 20
The following is a DFT calculation (PBE) of V2Pt5Rh after structural relaxation.

Computed properties:
ΔH_f (0 K), eV/atom: -0.46
D(E_F), states/eV/f.u.: 8.8

a b c (Å): 3.887 5.526 11.059
angles (deg): 90.00 90.00 90.00
Sites, in units of the cell vectors:
V1 0.500 0.257 0.123
V2 0.500 0.757 0.377
V3 0.500 0.243 0.623
V4 0.500 0.743 0.877
Pt1 0.000 0.502 0.249
Pt2 0.000 0.002 0.251
Pt3 0.000 0.998 0.749
Pt4 0.000 0.000 0.000
Pt5 0.500 0.751 0.623
Pt6 0.000 0.498 0.751
Pt7 0.000 0.500 0.500
Pt8 0.500 0.249 0.377
Pt9 0.500 0.251 0.877
Pt10 0.500 0.749 0.123
Rh1 0.000 0.500 0.000
Rh2 0.000 0.000 0.500

***

Calculated calculated volume, 17.18, 21.22, 10.07, 23.43, 21.61, 19.00, 34.52, 22.42, 19.39, 31.42, 51.36, 35.95, 31.18, 15.38, 26.42, 16.05, 21.99, 18.08, 20.55, 14.84 A^3/atom (same order as the records).